# Ni2MoP

A relaxed structure of Ni2MoP (PBE, Alexandria via LeMat-Bulk).

Its space group is Pmmm, No. 47. As for the total energy: -7.037 eV per atom. The calculation puts the formation enthalpy at 0 K at -0.086 eV per atom.

Cell: 2.844 3.601 4.921 Å, 90.00 90.00 90.00°
Atoms (fractional coordinates):
Ni 0.000 0.000 0.753
Ni 0.000 0.000 0.247
Mo 0.500 0.500 0.500
P 0.500 0.500 0.000

# NiMo2P2

A relaxed structure of NiMo2P2 (PBE, Alexandria via LeMat-Bulk).

Its space group is P4/mbm, No. 127. As for the total energy: -7.928 eV per atom. The calculation puts the formation enthalpy at 0 K at -0.275 eV per atom.

Cell: 6.516 6.516 3.185 Å, 90.00 90.00 90.00°
Atoms (fractional coordinates):
Ni 0.000 0.000 0.000
Ni 0.500 0.500 0.000
Mo 0.151 0.651 0.500
Mo 0.651 0.849 0.500
Mo 0.849 0.349 0.500
Mo 0.349 0.151 0.500
P 0.351 0.851 0.000
P 0.851 0.649 0.000
P 0.649 0.149 0.000
P 0.149 0.351 0.000